## a
# Tl2CrIn

An optimized crystal structure of Tl2CrIn (PBEsol, the Alexandria database).

```
4
Lattice="-1.559 2.332 6.526 1.559 -2.332 6.526 1.559 2.332 -6.526" Properties=species:S:1:pos:R:3 pbc="T T T"
Tl 0.000 0.000 0.000
Tl 0.000 2.332 2.520
Cr 1.559 0.000 2.523
In 0.000 0.000 4.929
```

Results
DOS at the Fermi energy = 2.60 states/eV/cell
SG = Imm2 (44)
Mass density = 10.1 g/cm³

## b
# Tl2CrIn

An optimized crystal structure of Tl2CrIn (PBEsol, the Alexandria database).

```
4
Lattice="3.270 0.000 0.000 0.000 3.270 0.000 0.000 0.000 8.651" Properties=species:S:1:pos:R:3 pbc="T T T"
Tl 0.000 0.000 1.861
Tl 0.000 0.000 6.790
Cr 1.635 1.635 0.000
In 1.635 1.635 4.326
```

Results
DOS at the Fermi energy = 2.19 states/eV/cell
SG = P4/mmm (123)
Mass density = 10.3 g/cm³

Least stable of them? b.

## a
# Tl2PtCl

An optimized crystal structure of Tl2PtCl (PBEsol, the Alexandria database).

```
4
Lattice="3.130 0.000 0.000 0.000 3.659 0.000 0.000 0.000 7.597" Properties=species:S:1:pos:R:3 pbc="T T T"
Tl 0.000 0.000 1.702
Tl 0.000 0.000 5.895
Pt 1.565 1.830 0.000
Cl 1.565 1.830 3.798
```

Results
DOS at the Fermi energy = 1.28 states/eV/cell
SG = Pmmm (47)
Mass density = 12.2 g/cm³

## b
# Tl2PtCl

An optimized crystal structure of Tl2PtCl (PBEsol, the Alexandria database).

```
4
Lattice="-2.234 2.746 3.716 2.234 -2.746 3.716 2.234 2.746 -3.716" Properties=species:S:1:pos:R:3 pbc="T T T"
Tl 0.000 0.000 1.703
Tl 0.000 0.000 5.729
Pt 2.234 0.000 0.000
Cl 0.000 2.746 0.000
```

Results
DOS at the Fermi energy = 1.95 states/eV/cell
SG = Immm (71)
Mass density = 11.6 g/cm³

Least stable of them? b.

## a
# AlP2Pb

An optimized crystal structure of AlP2Pb (PBEsol, the Alexandria database).

```
4
Lattice="1.893 1.093 6.292 -1.893 1.093 6.292 0.000 -2.185 6.292" Properties=species:S:1:pos:R:3 pbc="T T T"
Al 0.000 0.000 0.000
P 0.000 0.000 5.017
P 0.000 0.000 13.859
Pb 0.000 0.000 9.438
```

Results
DOS at the Fermi energy = 1.82 states/eV/cell
SG = R-3m (166)
Mass density = 6.3 g/cm³

## b
# AlP2Pb

An optimized crystal structure of AlP2Pb (PBEsol, the Alexandria database).

```
4
Lattice="1.666 0.962 8.269 -1.666 0.962 8.269 0.000 -1.924 8.269" Properties=species:S:1:pos:R:3 pbc="T T T"
Al 0.000 0.000 0.000
P 0.000 0.000 11.372
P 0.000 0.000 18.355
Pb 0.000 0.000 5.841
```

Results
DOS at the Fermi energy = 1.52 states/eV/cell
SG = R3m (160)
Mass density = 6.2 g/cm³

Least stable of them? b.

## a
# N

An optimized crystal structure of N (PBEsol, the Alexandria database).

```
16
Lattice="4.860 2.806 4.345 -4.860 2.806 4.345 0.000 -5.611 4.345" Properties=species:S:1:pos:R:3 pbc="T T T"
N 0.000 0.000 0.556
N -3.314 -0.993 5.781
N -0.797 -2.245 3.608
N -1.546 1.813 3.608
N -0.797 -3.366 7.255
N -2.517 2.373 7.255
N -2.343 -0.432 9.427
N 0.000 0.000 5.962
N 0.000 0.000 7.074
N 2.343 0.432 3.608
N 2.517 -2.373 5.781
N 0.797 3.366 5.781
N 1.546 -1.813 9.427
N 0.797 2.245 9.427
N 3.314 0.993 7.255
N 0.000 0.000 12.480
```

Results
DOS at the Fermi energy = 0.00 states/eV/cell
SG = R-3c (167)
Mass density = 1.0 g/cm³

## b
# N

An optimized crystal structure of N (PBEsol, the Alexandria database).

```
2
Lattice="2.533 0.000 0.000 -1.266 2.193 0.000 0.000 0.000 2.427" Properties=species:S:1:pos:R:3 pbc="T T T"
N 0.000 1.462 0.607
N 1.266 0.731 1.820
```

Results
DOS at the Fermi energy = 0.80 states/eV/cell
SG = P6_3/mmc (194)
Mass density = 3.5 g/cm³

Least stable of them? b.

## a
# Mo3Os

An optimized crystal structure of Mo3Os (PBEsol, the Alexandria database).

```
4
Lattice="2.734 0.000 0.000 0.000 3.942 0.000 0.000 0.000 5.586" Properties=species:S:1:pos:R:3 pbc="T T T"
Mo 0.000 0.000 0.000
Mo 1.367 1.971 1.437
Mo 1.367 1.971 4.149
Os 0.000 0.000 2.793
```

Results
DOS at the Fermi energy = 3.70 states/eV/cell
SG = Pmmm (47)
Mass density = 13.2 g/cm³

## b
# Mo3Os

An optimized crystal structure of Mo3Os (PBEsol, the Alexandria database).

```
8
Lattice="4.939 0.000 0.000 0.000 4.939 0.000 0.000 0.000 4.939" Properties=species:S:1:pos:R:3 pbc="T T T"
Mo 0.000 1.235 2.469
Mo 0.000 3.704 2.469
Mo 1.235 2.469 0.000
Mo 2.469 0.000 1.235
Mo 2.469 0.000 3.704
Mo 3.704 2.469 0.000
Os 0.000 0.000 0.000
Os 2.469 2.469 2.469
```

Results
DOS at the Fermi energy = 8.22 states/eV/cell
SG = Pm-3n (223)
Mass density = 13.2 g/cm³

Least stable of them? a.

## a
# TlHgSb2

An optimized crystal structure of TlHgSb2 (PBEsol, the Alexandria database).

```
4
Lattice="3.799 0.000 0.000 0.000 3.799 0.000 0.000 0.000 7.585" Properties=species:S:1:pos:R:3 pbc="T T T"
Tl 0.000 0.000 0.000
Hg 1.899 1.899 1.864
Sb 0.000 0.000 3.872
Sb 1.899 1.899 5.319
```

Results
DOS at the Fermi energy = 1.51 states/eV/cell
SG = P4mm (99)
Mass density = 9.8 g/cm³

## b
# TlHgSb2

An optimized crystal structure of TlHgSb2 (PBEsol, the Alexandria database).

```
4
Lattice="3.145 0.000 0.000 0.000 5.407 0.000 -0.027 0.000 6.312" Properties=species:S:1:pos:R:3 pbc="T T T"
Tl 0.000 0.000 0.000
Hg 1.559 0.000 3.156
Sb 1.542 2.703 4.716
Sb 1.576 2.703 1.597
```

Results
DOS at the Fermi energy = 2.02 states/eV/cell
SG = P2/m (10)
Mass density = 10.0 g/cm³

Least stable of them? b.

## a
# Na2PtF

An optimized crystal structure of Na2PtF (PBEsol, the Alexandria database).

```
8
Lattice="-3.231 3.231 3.567 3.231 -3.231 3.567 3.231 3.231 -3.567" Properties=species:S:1:pos:R:3 pbc="T T T"
Na 1.615 1.028 -0.892
Na 2.202 -1.615 4.459
Na 1.615 2.202 2.675
Na 1.028 4.846 0.892
Pt 3.231 0.000 1.784
Pt 0.000 0.000 3.567
F 0.000 0.000 0.000
F 0.000 3.231 1.784
```

Results
DOS at the Fermi energy = 10.29 states/eV/cell
SG = I-42d (122)
Mass density = 5.8 g/cm³

## b
# Na2PtF

An optimized crystal structure of Na2PtF (PBEsol, the Alexandria database).

```
4
Lattice="0.000 3.316 3.316 3.316 0.000 3.316 3.316 3.316 0.000" Properties=species:S:1:pos:R:3 pbc="T T T"
Na 1.658 1.658 1.658
Na 4.974 4.974 4.974
Pt 0.000 0.000 0.000
F 3.316 3.316 3.316
```

Results
DOS at the Fermi energy = 5.50 states/eV/cell
SG = Fm-3m (225)
Mass density = 5.9 g/cm³

Least stable of them? b.

## a
# Ni2PdSe2

An optimized crystal structure of Ni2PdSe2 (PBEsol, the Alexandria database).

```
20
Lattice="-5.223 5.223 2.759 5.223 -5.223 2.759 5.223 5.223 -2.759" Properties=species:S:1:pos:R:3 pbc="T T T"
Ni 3.613 -1.610 1.379
Ni 6.833 -1.610 1.379
Ni 3.613 1.610 1.379
Ni 6.833 1.610 1.379
Ni -1.610 3.613 1.379
Ni 1.610 3.613 1.379
Ni -1.610 6.833 1.379
Ni 1.610 6.833 1.379
Pd 0.000 0.000 0.000
Pd 5.223 0.000 0.000
Pd 0.000 5.223 0.000
Pd 0.000 0.000 2.759
Se 2.546 0.000 0.000
Se 7.901 0.000 0.000
Se 0.000 2.546 0.000
Se 3.468 3.468 0.000
Se 1.755 -1.755 2.759
Se -1.755 1.755 2.759
Se 1.755 1.755 2.759
Se 0.000 7.901 0.000
```

Results
DOS at the Fermi energy = 14.19 states/eV/cell
SG = I4/mmm (139)
Mass density = 8.4 g/cm³

## b
# Ni2PdSe2

An optimized crystal structure of Ni2PdSe2 (PBEsol, the Alexandria database).

```
5
Lattice="-1.695 1.695 6.529 1.695 -1.695 6.529 1.695 1.695 -6.529" Properties=species:S:1:pos:R:3 pbc="T T T"
Ni 1.695 0.000 3.264
Ni 0.000 1.695 3.264
Pd 0.000 0.000 0.000
Se 0.000 0.000 4.953
Se 0.000 0.000 8.104
```

Results
DOS at the Fermi energy = 3.83 states/eV/cell
SG = I4/mmm (139)
Mass density = 8.5 g/cm³

Least stable of them? b.

## a
# KCa2Au

An optimized crystal structure of KCa2Au (PBEsol, the Alexandria database).

```
4
Lattice="5.130 0.000 0.000 0.000 5.130 0.000 0.000 0.000 4.664" Properties=species:S:1:pos:R:3 pbc="T T T"
K 0.000 0.000 0.000
Ca 0.000 2.565 2.332
Ca 2.565 0.000 2.332
Au 2.565 2.565 0.000
```

Results
DOS at the Fermi energy = 3.16 states/eV/cell
SG = P4/mmm (123)
Mass density = 4.3 g/cm³

## b
# KCa2Au

An optimized crystal structure of KCa2Au (PBEsol, the Alexandria database).

```
4
Lattice="0.000 3.863 3.863 3.863 0.000 3.863 3.863 3.863 0.000" Properties=species:S:1:pos:R:3 pbc="T T T"
K 0.000 0.000 0.000
Ca 1.931 1.931 1.931
Ca 5.794 5.794 5.794
Au 3.863 3.863 3.863
```

Results
DOS at the Fermi energy = 5.05 states/eV/cell
SG = Fm-3m (225)
Mass density = 4.6 g/cm³

Least stable of them? a.

## a
# Cu2Au

An optimized crystal structure of Cu2Au (PBEsol, the Alexandria database).

```
9
Lattice="7.296 0.000 0.000 -3.648 6.319 0.000 0.000 0.000 2.658" Properties=species:S:1:pos:R:3 pbc="T T T"
Cu -1.319 2.284 0.000
Cu -2.529 4.381 1.329
Cu 1.119 1.938 1.329
Cu 2.637 0.000 0.000
Cu 2.329 4.035 0.000
Cu 5.058 0.000 1.329
Au 0.000 0.000 0.000
Au 0.000 4.212 1.329
Au 3.648 2.106 1.329
```

Results
DOS at the Fermi energy = 2.90 states/eV/cell
SG = P-62m (189)
Mass density = 13.2 g/cm³

## b
# Cu2Au

An optimized crystal structure of Cu2Au (PBEsol, the Alexandria database).

```
3
Lattice="3.424 0.000 0.000 0.000 3.424 0.000 0.000 0.000 3.883" Properties=species:S:1:pos:R:3 pbc="T T T"
Cu 0.000 1.712 0.000
Cu 1.712 0.000 0.000
Au 0.000 0.000 1.941
```

Results
DOS at the Fermi energy = 0.86 states/eV/cell
SG = P4/mmm (123)
Mass density = 11.8 g/cm³

Least stable of them? b.

## a
# LiCoPO4

An optimized crystal structure of LiCoPO4 (PBEsol, the Alexandria database).

```
21
Lattice="5.211 0.000 0.000 -2.605 4.513 0.000 0.000 0.000 12.425" Properties=species:S:1:pos:R:3 pbc="T T T"
Li 0.000 0.000 0.000
Li 0.000 0.000 4.142
Li 0.000 0.000 8.283
Co -1.303 2.256 2.071
Co 2.605 0.000 6.213
Co 1.303 2.256 10.354
P -1.303 2.256 8.283
P 2.605 0.000 0.000
P 1.303 2.256 4.142
O -0.097 1.806 9.140
O -1.090 3.526 7.427
O 0.097 1.806 3.285
O -0.993 3.694 0.857
O 1.612 0.819 11.568
O 1.515 0.987 4.998
O 1.090 3.526 4.998
O 0.993 3.694 11.568
O 3.598 0.819 0.857
O 2.508 2.707 3.285
O 3.695 0.987 7.427
O 2.702 2.707 9.140
```

Results
SG = P6_222 (180)
Mass density = 2.7 g/cm³

## b
# LiCoPO4

An optimized crystal structure of LiCoPO4 (PBEsol, the Alexandria database).

```
14
Lattice="2.724 -4.084 0.000 2.724 4.084 0.000 0.000 0.000 6.031" Properties=species:S:1:pos:R:3 pbc="T T T"
Li 2.724 2.705 4.523
Li 2.724 -2.705 1.508
Co 2.724 0.000 0.000
Co 2.724 0.000 3.015
P 2.724 2.859 1.508
P 2.724 -2.859 4.523
O 1.241 0.257 4.523
O 2.724 1.990 0.248
O 2.724 1.990 2.767
O 1.241 -0.257 1.508
O 4.208 0.257 4.523
O 2.724 -1.990 3.264
O 2.724 -1.990 5.782
O 4.208 -0.257 1.508
```

Results
DOS at the Fermi energy = 11.68 states/eV/cell
SG = Cmcm (63)
Mass density = 4.0 g/cm³

Least stable of them? a.

## a
# Li2CuNi

An optimized crystal structure of Li2CuNi (PBEsol, the Alexandria database).

```
4
Lattice="-1.314 2.096 4.208 1.314 -2.096 4.208 1.314 2.096 -4.208" Properties=species:S:1:pos:R:3 pbc="T T T"
Li 0.000 0.000 0.000
Li 0.000 2.096 2.007
Cu 0.000 0.000 4.107
Ni 1.314 0.000 2.093
```

Results
DOS at the Fermi energy = 1.41 states/eV/cell
SG = Imm2 (44)
Mass density = 4.9 g/cm³

## b
# Li2CuNi

An optimized crystal structure of Li2CuNi (PBEsol, the Alexandria database).

```
4
Lattice="2.718 0.000 0.000 0.000 4.075 0.000 0.000 0.000 4.133" Properties=species:S:1:pos:R:3 pbc="T T T"
Li 0.000 0.000 0.000
Li 1.359 2.038 0.000
Cu 0.000 2.038 2.067
Ni 1.359 0.000 2.067
```

Results
DOS at the Fermi energy = 1.57 states/eV/cell
SG = Pmmm (47)
Mass density = 4.9 g/cm³

Least stable of them? a.